(1)
First-principles (GGA-PBE) data for a relaxed structure of CoAgBr2, as listed in Alexandria.

```
data_CoAgBr2
_chemical_formula_sum 'Co1 Ag1 Br2'
_symmetry_space_group_name_H-M 'P 1'
_symmetry_Int_Tables_number 1
_symmetry_space_group_name_Hall 'P 1'
_cell_length_a 3.564
_cell_length_b 3.901
_cell_length_c 7.567
_cell_angle_alpha 74.65
_cell_angle_beta 90.00
_cell_angle_gamma 90.00
loop_
_atom_site_label
_atom_site_fract_x
_atom_site_fract_y
_atom_site_fract_z
Ag1 0.500 0.713 0.697
Br1 0.500 0.394 0.347
Br2 0.000 0.113 0.890
Co1 0.000 0.280 0.566
```

Summary:
- M_tot (μB per cell) = 2.0
- E_form (uncorrected) (eV/atom) = 0.00

***

(2)
First-principles (GGA-PBE) data for a relaxed structure of CaAc3LaSm, as listed in Alexandria.

```
data_CaAc3LaSm
_chemical_formula_sum 'Ca2 Ac6 La2 Sm2'
_symmetry_space_group_name_H-M 'P 1'
_symmetry_Int_Tables_number 1
_symmetry_space_group_name_Hall 'P 1'
_cell_length_a 3.872
_cell_length_b 10.327
_cell_length_c 12.586
_cell_angle_alpha 90.00
_cell_angle_beta 90.00
_cell_angle_gamma 100.81
loop_
_atom_site_label
_atom_site_fract_x
_atom_site_fract_y
_atom_site_fract_z
Ac1 0.896 0.793 0.250
Ac2 0.104 0.207 0.750
Ac3 0.661 0.323 0.498
Ac4 0.661 0.323 0.002
Ac5 0.339 0.677 0.998
Ac6 0.339 0.677 0.502
Sm1 0.000 0.000 0.500
Sm2 0.000 0.000 0.000
Ca1 0.775 0.550 0.750
Ca2 0.225 0.450 0.250
La1 0.555 0.110 0.250
La2 0.445 0.890 0.750
```

Summary:
- M_tot (μB per cell) = 0.0
- formation energy from the elements (meV/atom) = 31

***

(3)
First-principles (GGA-PBE) data for a relaxed structure of USeCl, as listed in Alexandria.

```
data_USeCl
_chemical_formula_sum 'U1 Se1 Cl1'
_symmetry_space_group_name_H-M 'P 1'
_symmetry_Int_Tables_number 1
_symmetry_space_group_name_Hall 'P 1'
_cell_length_a 3.491
_cell_length_b 3.491
_cell_length_c 7.184
_cell_angle_alpha 104.06
_cell_angle_beta 104.06
_cell_angle_gamma 90.00
loop_
_atom_site_label
_atom_site_fract_x
_atom_site_fract_y
_atom_site_fract_z
Cl1 0.289 0.289 0.579
Se1 0.048 0.048 0.096
U1 0.663 0.663 0.325
```

Summary:
- M_tot (μB per cell) = 2.8
- E_form (uncorrected) (eV/atom) = -1.20

***

(4)
First-principles (GGA-PBE) data for a relaxed structure of Li3U2RhS6, as listed in Alexandria.

```
data_Li3U2RhS6
_chemical_formula_sum 'Li3 U2 Rh1 S6'
_symmetry_space_group_name_H-M 'P 1'
_symmetry_Int_Tables_number 1
_symmetry_space_group_name_Hall 'P 1'
_cell_length_a 6.381
_cell_length_b 6.381
_cell_length_c 6.668
_cell_angle_alpha 99.09
_cell_angle_beta 99.09
_cell_angle_gamma 119.98
loop_
_atom_site_label
_atom_site_fract_x
_atom_site_fract_y
_atom_site_fract_z
U1 0.332 0.668 0.000
U2 0.668 0.332 0.000
S1 0.402 0.084 0.253
S2 0.598 0.916 0.747
S3 0.236 0.236 0.752
S4 0.916 0.598 0.747
S5 0.764 0.764 0.248
S6 0.084 0.402 0.253
Li1 0.838 0.162 0.500
Li2 0.500 0.500 0.500
Li3 0.162 0.838 0.500
Rh1 0.000 0.000 0.000
```

Summary:
- M_tot (μB per cell) = 6.0
- E_form (uncorrected) (eV/atom) = -1.18

***

(5)
First-principles (GGA-PBE) data for a relaxed structure of PmPrTm2As4, as listed in Alexandria.

```
data_PmPrTm2As4
_chemical_formula_sum 'Pm1 Pr1 Tm2 As4'
_symmetry_space_group_name_H-M 'P 1'
_symmetry_Int_Tables_number 1
_symmetry_space_group_name_Hall 'P 1'
_cell_length_a 4.174
_cell_length_b 7.214
_cell_length_c 7.225
_cell_angle_alpha 70.50
_cell_angle_beta 90.00
_cell_angle_gamma 90.00
loop_
_atom_site_label
_atom_site_fract_x
_atom_site_fract_y
_atom_site_fract_z
As1 0.500 0.238 0.752
As2 0.000 0.764 0.744
As3 0.000 0.236 0.256
As4 0.500 0.762 0.248
Pm1 0.000 0.500 0.500
Pr1 0.500 0.500 0.000
Tm1 0.000 0.000 0.000
Tm2 0.500 0.000 0.500
```

Summary:
- M_tot (μB per cell) = 0.0
- formation energy from the elements (meV/atom) = -1498

***

(6)
First-principles (GGA-PBE) data for a relaxed structure of InAgI2, as listed in Alexandria.

```
data_InAgI2
_chemical_formula_sum 'In1 Ag1 I2'
_symmetry_space_group_name_H-M 'P 1'
_symmetry_Int_Tables_number 1
_symmetry_space_group_name_Hall 'P 1'
_cell_length_a 5.655
_cell_length_b 5.655
_cell_length_c 5.655
_cell_angle_alpha 60.00
_cell_angle_beta 60.00
_cell_angle_gamma 60.00
loop_
_atom_site_label
_atom_site_fract_x
_atom_site_fract_y
_atom_site_fract_z
I1 0.250 0.250 0.250
I2 0.750 0.750 0.750
Ag1 0.000 0.000 0.000
In1 0.500 0.500 0.500
```

Summary:
- M_tot (μB per cell) = 0.0
- E_form (uncorrected) (eV/atom) = -0.12